1.
This record from Alexandria via LeMat-Bulk describes crystalline CaLa2In2 at its relaxed geometry. The functional is PBE-GGA.

Cell: 4.846 4.846 14.614 Å, 90.00 90.00 90.00°
Space group I4/mmm (No. 139)
One atom of each set of equivalent atoms:
1 Ca 0.000 0.000 0.000 x2
2 La 0.000 0.500 0.250 x4
3 In 0.000 0.000 0.405 x4

Values from the calculation:
**E_tot**: -3.678 eV per atom
**Excess energy over the best structure of this formula in the dataset**: 98 kJ/mol of formula units
**Total magnetic moment**: 0.0 Bohr magnetons per cell
**V**: 343 Å³/cell
**Energy of formation**: -0.21 eV per atom

---

2.
This record from Alexandria via LeMat-Bulk describes crystalline CaLa2In2 at its relaxed geometry. The functional is PBE-GGA.

Cell: 8.706 8.706 4.438 Å, 90.00 90.00 90.00°
Space group P4/mbm (No. 127)
One atom of each set of equivalent atoms:
1 Ca 0.000 0.000 0.000 x2
2 La 0.173 0.327 0.500 x4
3 In 0.124 0.624 0.000 x4

Values from the calculation:
**E_tot**: -3.881 eV per atom
**Excess energy over the best structure of this formula in the dataset**: 0 kJ/mol of formula units
**Total magnetic moment**: 1.7 Bohr magnetons per cell
**V**: 336 Å³/cell
**Energy of formation**: -0.41 eV per atom

---

3.
This record from Alexandria via LeMat-Bulk describes crystalline Ca2La2In at its relaxed geometry. The functional is PBE-GGA.

Cell: 8.220 8.220 5.599 Å, 90.00 90.00 90.00°
Space group P4/mbm (No. 127)
One atom of each set of equivalent atoms:
1 Ca 0.172 0.328 0.000 x4
2 La 0.127 0.627 0.500 x4
3 In 0.000 0.000 0.500 x2

Values from the calculation:
**E_tot**: -3.261 eV per atom
**Excess energy over the best structure of this formula in the dataset**: 10 kJ/mol of formula units
**Total magnetic moment**: 0.0 Bohr magnetons per cell
**V**: 378 Å³/cell
**Energy of formation**: 0.06 eV per atom